# Eu3ReO8 (PBE, relaxed)
# Total magnetic moment = 5.46 μB per formula unit
# Volume = 13.48 Å³ per atom
# Fermi-level density of states = 25.8 states/eV/f.u.
data_Eu3ReO8
_cell_length_a 8.3845
_cell_length_b 12.1762
_cell_length_c 6.3363
_cell_angle_alpha 90.00
_cell_angle_beta 90.00
_cell_angle_gamma 90.00
_symmetry_space_group_name_H-M 'C m c m'
_symmetry_Int_Tables_number 63
_symmetry_space_group_name_Hall '-C 2c 2'
loop_
_atom_site_label
_atom_site_fract_x
_atom_site_fract_y
_atom_site_fract_z
_atom_site_occupancy
Eu1 0.0000 0.1074 0.2500 1
Eu2 0.2201 0.3900 0.2500 1
Re1 0.0000 0.3193 0.7500 1
O1 0.0000 0.1571 0.7500 1
O2 0.0000 0.3069 0.0486 1
O3 0.0000 0.4704 0.7500 1
O4 0.1669 0.0000 0.0000 1
O5 0.2246 0.3084 0.7500 1



# EuReO3 (PBE, relaxed)
# Total magnetic moment = 6.48 μB per formula unit
# Volume = 12.72 Å³ per atom
# Fermi-level density of states = 4.2 states/eV/f.u.
data_EuReO3
_cell_length_a 3.9919
_cell_length_b 3.9919
_cell_length_c 3.9919
_cell_angle_alpha 90.00
_cell_angle_beta 90.00
_cell_angle_gamma 90.00
_symmetry_space_group_name_H-M 'P m -3 m'
_symmetry_Int_Tables_number 221
_symmetry_space_group_name_Hall '-P 4 2 3'
loop_
_atom_site_label
_atom_site_fract_x
_atom_site_fract_y
_atom_site_fract_z
_atom_site_occupancy
Eu1 0.0000 0.0000 0.0000 1
Re1 0.5000 0.5000 0.5000 1
O1 0.0000 0.5000 0.5000 1



# Eu3ReO7 (PBE, relaxed)
# Total magnetic moment = 6.79 μB per formula unit
# Volume = 14.51 Å³ per atom
# Fermi-level density of states = 22.9 states/eV/f.u.
data_Eu3ReO7
_cell_length_a 11.0086
_cell_length_b 7.6195
_cell_length_c 7.6102
_cell_angle_alpha 90.00
_cell_angle_beta 90.00
_cell_angle_gamma 90.00
_symmetry_space_group_name_H-M 'C m c m'
_symmetry_Int_Tables_number 63
_symmetry_space_group_name_Hall '-C 2c 2'
loop_
_atom_site_label
_atom_site_fract_x
_atom_site_fract_y
_atom_site_fract_z
_atom_site_occupancy
Eu1 0.0000 0.0000 0.0000 1
Eu2 0.2355 0.2815 0.2500 1
Re1 0.0000 0.5000 0.0000 1
O1 0.0000 0.4526 0.2500 1
O2 0.1216 0.3229 0.5280 1
O3 0.1350 0.0185 0.2500 1



Sequential formation energy from raw total energies output: -2661.1; -932.2; -2655.8 kJ/mol of formula units